Density functional theory data (PBE) for a geometry-optimized AcSmDy2As4 structure.

Cell: 7.369 4.257 7.374 Å, 90.00 109.41 90.00°
Atoms (fractional coordinates):
Ac (0.000, 0.000, 0.000)
Sm (0.000, 0.500, 0.500)
Dy (0.500, 0.000, 0.500)
Dy (0.500, 0.500, 0.000)
As (0.261, 0.000, 0.746)
As (0.268, 0.500, 0.264)
As (0.732, 0.500, 0.736)
As (0.739, 0.000, 0.254)

Output
crystal system	monoclinic
ΔH_f (0 K)	-1.48	eV per atom
SG	No. 10